Material: CsCdGaHPt
Method: DFT, PBE
State: optimized geometry

Cell lengths 3.790, 4.105, 15.885 Å; angles 90.00, 90.00, 90.00 degrees
Space group Amm2 (No. 38)
Unique sites:
Cs: 0.000 0.000 0.000
Cd: 0.500 0.000 0.694
Ga: 0.500 0.000 0.333
H: 0.500 0.000 0.440
Pt: 0.000 0.000 0.238

Calculated values
E_tot	-2.976	eV per atom



Material: CsCdGaHPt
Method: DFT, PBE
State: optimized geometry

Cell lengths 9.221, 4.296, 7.098 Å; angles 90.00, 106.16, 90.00 degrees
Space group Cm (No. 8)
Unique sites:
Cs: 0.000 0.000 0.000
Cd: 0.475 0.000 0.483
Ga: 0.183 0.000 0.542
H: 0.242 0.500 0.195
Pt: 0.267 0.500 0.433

Calculated values
E_tot	-3.083	eV per atom



Material: CsCdGaHPt
Method: DFT, PBE
State: optimized geometry

Cell lengths 7.241, 4.352, 8.576 Å; angles 90.00, 107.68, 90.00 degrees
Space group Cm (No. 8)
Unique sites:
Cs: 0.000 0.000 0.000
Cd: 0.200 0.000 0.592
Ga: 0.289 0.500 0.360
H: 0.277 0.000 0.819
Pt: 0.467 0.000 0.406

Calculated values
E_tot	-3.075	eV per atom



Material: CsCdGaHPt
Method: DFT, PBE
State: optimized geometry

Cell lengths 4.458, 5.325, 7.106 Å; angles 111.82, 107.92, 90.10 degrees
Space group P1 (No. 1)
Unique sites:
Cs: 0.000 0.000 0.000
Cd: 0.703 0.707 0.416
Ga: 0.295 0.300 0.599
H: 0.427 0.434 0.868
Pt: 0.723 0.225 0.453

Calculated values
E_tot	-3.027	eV per atom



Material: CsCdGaHPt
Method: DFT, PBE
State: optimized geometry

Cell lengths 9.243, 4.373, 7.418 Å; angles 90.00, 111.81, 90.00 degrees
Space group Cm (No. 8)
Unique sites:
Cs: 0.000 0.000 0.000
Cd: 0.073 0.500 0.596
Ga: 0.326 0.500 0.432
H: 0.060 0.000 0.424
Pt: 0.254 0.000 0.530

Calculated values
E_tot	-3.049	eV per atom



Material: CsCdGaHg2
Method: DFT, PBE
State: optimized geometry

Cell lengths 5.815, 5.815, 5.363 Å; angles 90.00, 90.00, 90.00 degrees
Space group P4/mmm (No. 123)
Unique sites:
Cs: 0.000 0.000 0.000
Cd: 0.500 0.500 0.500
Ga: 0.500 0.500 0.000
Hg: 0.000 0.500 0.500

Calculated values
DFT formation energy	10.8	meV/atom



Material: CsCdGaHg2
Method: DFT, PBE
State: optimized geometry

Cell lengths 5.573, 5.573, 5.526 Å; angles 90.00, 90.00, 90.00 degrees
Space group P4/mmm (No. 123)
Unique sites:
Cs: 0.000 0.000 0.000
Cd: 0.500 0.500 0.000
Ga: 0.500 0.500 0.500
Hg: 0.000 0.500 0.500

Calculated values
DFT formation energy	-73.4	meV/atom



Material: CsCdGa2I8
Method: DFT, PBE
State: optimized geometry

Cell lengths 7.6033, 7.6033, 33.1156 Å; angles 90.00, 90.00, 120.00 degrees
Space group R-3 (No. 148, hexagonal axes)
Unique sites:
Cs: 0.0000 0.0000 0.0000
Cd: 0.0000 0.0000 0.5000
Ga: 0.0000 0.0000 0.2516
I: 0.0000 0.0000 0.3299
I: 0.0035 0.3466 0.4410

Calculated values
energy relative to the elements, uncorrected	-0.6250	eV/atom



Material: Cs2CdGaI6
Method: DFT, PBE
State: optimized geometry

Cell lengths 8.443, 8.443, 11.985 Å; angles 90.00, 90.00, 90.00 degrees
Space group I4/mmm (No. 139)
Unique sites:
Cs: 0.000 0.500 0.250
Cd: 0.000 0.000 0.000
Ga: 0.000 0.000 0.500
I: 0.000 0.000 0.253
I: 0.247 0.247 0.500

Calculated values
energy relative to the elements, uncorrected	-0.8895	eV/atom



Material: CsCd2GaIr
Method: DFT, PBE
State: optimized geometry

Cell lengths 5.425, 5.425, 4.867 Å; angles 90.00, 90.00, 90.00 degrees
Space group P4/mmm (No. 123)
Unique sites:
Cs: 0.000 0.000 0.000
Cd: 0.000 0.500 0.500
Ga: 0.500 0.500 0.000
Ir: 0.500 0.500 0.500

Calculated values
DFT formation energy	-160.2	meV/atom



Material: CsCdGa2Ir
Method: DFT, PBE
State: optimized geometry

Cell lengths 4.926, 4.926, 5.436 Å; angles 90.00, 90.00, 90.00 degrees
Space group P4/mmm (No. 123)
Unique sites:
Cs: 0.000 0.000 0.000
Cd: 0.500 0.500 0.000
Ga: 0.000 0.500 0.500
Ir: 0.500 0.500 0.500

Calculated values
DFT formation energy	-260.4	meV/atom



Material: CsKCd2Ga
Method: DFT, PBE
State: optimized geometry

Cell lengths 5.559, 5.559, 6.430 Å; angles 90.00, 90.00, 90.00 degrees
Space group P4/mmm (No. 123)
Unique sites:
Cs: 0.000 0.000 0.000
K: 0.500 0.500 0.000
Cd: 0.000 0.500 0.500
Ga: 0.500 0.500 0.500

Calculated values
DFT formation energy	33.3	meV/atom



Material: CsLi2CdGa
Method: DFT, PBE
State: optimized geometry

Cell lengths 5.469, 5.469, 5.155 Å; angles 90.00, 90.00, 90.00 degrees
Space group P4/mmm (No. 123)
Unique sites:
Cs: 0.000 0.000 0.000
Li: 0.000 0.500 0.500
Cd: 0.500 0.500 0.000
Ga: 0.500 0.500 0.500

Calculated values
DFT formation energy	-9.8	meV/atom



Material: CsNa2CdGa
Method: DFT, PBE
State: optimized geometry

Cell lengths 6.045, 6.045, 5.386 Å; angles 90.00, 90.00, 90.00 degrees
Space group P4/mmm (No. 123)
Unique sites:
Cs: 0.000 0.000 0.000
Na: 0.000 0.500 0.500
Cd: 0.500 0.500 0.500
Ga: 0.500 0.500 0.000

Calculated values
DFT formation energy	47.6	meV/atom



Material: CsNa2CdGa
Method: DFT, PBE
State: optimized geometry

Cell lengths 5.931, 5.931, 5.517 Å; angles 90.00, 90.00, 90.00 degrees
Space group P4/mmm (No. 123)
Unique sites:
Cs: 0.000 0.000 0.000
Na: 0.000 0.500 0.500
Cd: 0.500 0.500 0.000
Ga: 0.500 0.500 0.500

Calculated values
DFT formation energy	-3.0	meV/atom



Material: CsCdGa2Ni
Method: DFT, PBE
State: optimized geometry

Cell lengths 4.843, 4.843, 5.299 Å; angles 90.00, 90.00, 90.00 degrees
Space group P4/mmm (No. 123)
Unique sites:
Cs: 0.000 0.000 0.000
Cd: 0.500 0.500 0.000
Ga: 0.000 0.500 0.500
Ni: 0.500 0.500 0.500

Calculated values
DFT formation energy	-16.8	meV/atom



Material: CsCdGa2Os
Method: DFT, PBE
State: optimized geometry

Cell lengths 4.944, 4.944, 5.457 Å; angles 90.00, 90.00, 90.00 degrees
Space group P4/mmm (No. 123)
Unique sites:
Cs: 0.000 0.000 0.000
Cd: 0.500 0.500 0.000
Ga: 0.000 0.500 0.500
Os: 0.500 0.500 0.500

Calculated values
DFT formation energy	-14.9	meV/atom



Material: CsCd2GaPb4
Method: DFT, PBE
State: optimized geometry

Cell lengths 5.4204, 5.4204, 31.8095 Å; angles 90.00, 90.00, 120.00 degrees
Space group R-3m (No. 166, hexagonal axes)
Unique sites:
Cs: 0.0000 0.0000 0.0000
Cd: 0.0000 0.0000 0.2431
Ga: 0.0000 0.0000 0.5000
Pb: 0.0000 0.0000 0.1356
Pb: 0.0000 0.0000 0.4123

Calculated values
DFT formation energy	-8.9	meV/atom



Material: Cs2Cd3GaPb4
Method: DFT, PBE
State: optimized geometry

Cell lengths 5.150, 5.150, 12.914 Å; angles 90.00, 90.00, 90.00 degrees
Space group P-4m2 (No. 115)
Unique sites:
Cs: 0.000 0.500 0.240
Cd: 0.000 0.000 0.000
Cd: 0.000 0.500 0.639
Ga: 0.500 0.500 0.000
Pb: 0.000 0.000 0.500
Pb: 0.000 0.500 0.876
Pb: 0.500 0.500 0.500

Calculated values
DFT formation energy	-83.2	meV/atom



Material: CsCd2GaPd
Method: DFT, PBE
State: optimized geometry

Cell lengths 5.440, 5.440, 4.941 Å; angles 90.00, 90.00, 90.00 degrees
Space group P4/mmm (No. 123)
Unique sites:
Cs: 0.000 0.000 0.000
Cd: 0.000 0.500 0.500
Ga: 0.500 0.500 0.000
Pd: 0.500 0.500 0.500

Calculated values
DFT formation energy	-190.2	meV/atom